Record 1
A relaxed Fe2Sn2Pb crystal. Source: the Alexandria database, functional PBE-GGA.

```
Fe2Sn2Pb
1.0
-2.210 2.210 5.185
2.210 -2.210 5.185
2.210 2.210 -5.185
Fe Sn Pb
2 2 1
Direct
0.105 0.105 0.000
0.895 0.895 0.000
0.250 0.750 0.500
0.750 0.250 0.500
0.500 0.500 0.000
```

The electronic total energy comes out at -5.255 eV/atom. The value obtained for the magnetic moment is 3.351 μB/f.u.

Record 2
A relaxed Fe4AuSe crystal. Source: the Alexandria database, functional PBE-GGA.

```
Fe4AuSe
1.0
0.000 3.509 3.509
3.509 0.000 3.509
3.509 3.509 0.000
Fe Au Se
4 1 1
Direct
0.125 0.125 0.125
0.125 0.125 0.624
0.125 0.624 0.125
0.624 0.125 0.125
0.500 0.500 0.500
0.750 0.750 0.750
```

The formation energy without anion corrections is 0.346 eV per atom. The value obtained for the magnetic moment is 10.824 μB/f.u.

Record 3
A relaxed Rb2LaUS4 crystal. Source: the Alexandria database, functional PBE-GGA.

```
Rb2LaUS4
1.0
7.313 0.000 0.000
0.000 4.209 0.000
-2.435 0.000 7.709
Rb La U S
2 1 1 4
Direct
0.000 0.000 0.000
0.500 0.500 0.000
0.000 0.500 0.500
0.500 0.000 0.500
0.244 0.000 0.698
0.280 0.500 0.307
0.720 0.500 0.693
0.756 0.000 0.302
```

The formation energy without anion corrections is -1.602 eV per atom. The value obtained for the magnetic moment is 3.007 μB/f.u.

Record 4
A relaxed Tm4ThMg3 crystal. Source: the Alexandria database, functional PBE-GGA.

```
Tm4ThMg3
1.0
3.621 0.000 0.000
0.000 3.621 0.000
0.000 0.000 16.890
Tm Th Mg
4 1 3
Direct
0.000 0.000 0.114
0.000 0.000 0.360
0.000 0.000 0.640
0.000 0.000 0.886
0.500 0.500 0.500
0.500 0.500 0.000
0.500 0.500 0.236
0.500 0.500 0.764
```

The electronic total energy comes out at -3.805 eV/atom. The value obtained for the magnetic moment is 0.000 μB/f.u.

Record 5
A relaxed PrDyMn17 crystal. Source: the Alexandria database, functional PBE-GGA.

```
PrDyMn17
1.0
4.352 2.513 3.899
-4.352 2.513 3.899
0.000 -5.026 3.899
Pr Dy Mn
1 1 17
Direct
0.000 0.000 0.000
0.710 0.710 0.710
0.002 0.002 0.480
0.002 0.480 0.002
0.084 0.358 0.631
0.084 0.631 0.358
0.235 0.710 0.710
0.258 0.258 0.258
0.358 0.084 0.631
0.358 0.631 0.084
0.359 0.359 0.857
0.359 0.857 0.359
0.457 0.457 0.457
0.480 0.002 0.002
0.631 0.084 0.358
0.631 0.358 0.084
0.710 0.235 0.710
0.710 0.710 0.235
0.857 0.359 0.359
```

The electronic total energy comes out at -8.660 eV/atom. The value obtained for the magnetic moment is 4.259 μB/f.u.